A plane-wave DFT calculation with PBE with a Hubbard U was carried out for a relaxed FeBiIrO6 crystal.

It has space group P-31c (No. 163), with a = 5.4169 Å, b = 5.4169 Å, c = 8.5447 Å, α = 90.00°, β = 90.00° and γ = 120.00°. The inequivalent atoms are Fe at (0.0000, 0.0000, 0.0000), Bi at (0.3333, 0.6667, 0.2500), Ir at (0.3333, 0.6667, 0.7500) and O at (0.0367, 0.3526, 0.6228).

The calculation puts the total magnetization at 4.6 μB/f.u. The density of states at the Fermi level is 0.652 states/eV/atom. The raw total energy is -6.27 eV per atom.